DFT (PBE) results for an optimized crystal structure of TbSc3.

Computed properties:
Volume in Å³/cell: 104.87
Calculated formation energy in eV per atom: 0.056
Energy above the lowest structure with this stoichiometry in meV per atom: 31
Space-group type: Pm-3m, No. 221
Total energy in eV per atom: -5.85

Structure (POSCAR):
```
TbSc3
1.0
-1.015 -2.593 -3.806
2.834 -3.424 1.577
-3.630 -1.947 2.295
Sc Tb
3 1
direct
0.000 0.500 0.500
0.500 0.000 0.500
0.500 0.500 0.000
0.000 0.000 0.000
```

=====

DFT (PBE) results for an optimized crystal structure of Tb3TmSc.

Computed properties:
Volume in Å³/cell: 623.46
Calculated formation energy in eV per atom: 0.163
Energy above the lowest structure with this stoichiometry in meV per atom: 145
Space-group type: Pbcm, No. 57
Total energy in eV per atom: -4.78

Structure (POSCAR):
```
Tb3TmSc
1.0
-1.325 -3.156 -0.623
5.728 -3.949 7.828
-12.759 3.195 10.947
Tb Tm Sc
12 4 4
direct
0.750 0.500 0.750
0.250 0.000 0.250
0.250 0.500 0.250
0.750 0.000 0.750
0.249 0.559 0.923
0.249 0.441 0.577
0.751 0.059 0.077
0.751 0.941 0.423
0.249 0.059 0.577
0.249 0.941 0.923
0.751 0.559 0.423
0.751 0.441 0.077
0.748 0.250 0.897
0.748 0.750 0.603
0.252 0.750 0.103
0.252 0.250 0.397
0.751 0.250 0.227
0.751 0.750 0.273
0.249 0.750 0.773
0.249 0.250 0.727
```

=====

DFT (PBE) results for an optimized crystal structure of ScZn2Ir.

Computed properties:
Volume in Å³/cell: 63.53
Calculated formation energy in eV per atom: -0.349
Space-group type: Pmmm, No. 47
Total energy in eV per atom: -4.78

Structure (POSCAR):
```
ScZn2Ir
1.0
-2.108 1.805 0.991
-1.725 -2.999 1.794
2.992 0.998 4.544
Ir Sc Zn
1 1 2
direct
0.500 0.500 0.250
0.500 0.500 0.750
0.000 0.000 0.025
0.000 0.000 0.475
```